## KScIr2O8 (PBE)

Data for a geometry-optimized KScIr2O8 structure.

The structure in POSCAR format:
```
KScIr2O8
1.0
5.7307 0.0000 0.0000
-2.8654 4.9630 0.0000
0.0000 0.0000 7.6253
K Sc Ir O
1 1 2 8
Direct
0.0000 0.0000 0.0000
0.0000 0.0000 0.5000
0.3333 0.6667 0.7533
0.6667 0.3333 0.2467
0.1062 0.3271 0.6681
0.2209 0.8938 0.6681
0.3271 0.2209 0.3319
0.3333 0.6667 0.9875
0.6667 0.3333 0.0125
0.6729 0.7791 0.6681
0.7791 0.1062 0.3319
0.8938 0.6729 0.3319
```

Formation energy from raw total energies in eV per atom: -1.1272
Symmetry: P-3
DOS at the Fermi energy in states/eV/atom: 0.594
Calculated total energy in eV/atom: -6.53

---

## CrMoAs2 (PBE)

Data for a geometry-optimized CrMoAs2 structure.

The structure in POSCAR format:
```
CrMoAs2
1.0
3.3072 0.0000 0.0000
0.0000 3.3072 0.0000
0.0000 0.0000 5.7039
Cr Mo As
1 1 2
Direct
0.0000 0.0000 0.0000
0.5000 0.5000 0.3110
0.0000 0.0000 0.4980
0.5000 0.5000 0.8426
```

Energy above the most stable polymorph in this dataset in meV/atom: 127
Symmetry: P4mm
DOS at the Fermi energy in states/eV/atom: 0.800
Calculated total energy in eV/atom: -7.51
ΔH_f (0 K) in eV/atom: -0.070